The following is a GGA-PBE calculation of a relaxed structure of Tc3Cl, from Alexandria via LeMat-Bulk.

ΔE_f (raw) = 1.023 eV per atom
Space-group type = I4/mmm

```
Tc3Cl
1.0
4.988 0.000 0.000
2.168 4.492 0.000
-3.578 -2.246 2.652
Tc Cl
3 1
Cartesian
3.578 2.246 0.000 Tc
1.084 2.246 1.326 Tc
2.494 0.000 1.326 Tc
0.000 0.000 0.000 Cl
```

The following is a GGA-PBE calculation of a relaxed structure of Tc2Cl, from Alexandria via LeMat-Bulk.

ΔE_f (raw) = 0.074 eV per atom
Space-group type = Cm

```
Tc2Cl
1.0
1.483 4.444 0.042
-1.483 4.444 0.042
0.000 2.812 9.495
Cl Tc
2 4
Cartesian
0.000 2.850 9.129 Cl
0.000 2.405 2.755 Cl
0.000 6.187 4.585 Tc
0.000 4.718 7.653 Tc
0.000 2.208 6.731 Tc
0.000 8.707 5.698 Tc
```

The following is a GGA-PBE calculation of a relaxed structure of TcCl5, from Alexandria via LeMat-Bulk.

ΔE_f (raw) = -0.267 eV per atom
Space-group type = Cm

```
TcCl5
1.0
1.513 7.509 -1.102
-1.513 7.509 -1.102
0.000 1.114 7.256
Cl Tc
5 1
Cartesian
0.000 5.661 4.265 Cl
0.000 14.553 -2.044 Cl
0.000 5.397 1.366 Cl
0.000 10.421 3.690 Cl
0.000 2.556 2.016 Cl
0.000 11.751 1.865 Tc
```

The following is a GGA-PBE calculation of a relaxed structure of Tc3Cl, from Alexandria via LeMat-Bulk.

ΔE_f (raw) = 0.665 eV per atom
Space-group type = Pmm2

```
Tc3Cl
1.0
-2.633 -0.838 -0.648
1.589 -3.752 -1.602
-0.428 -2.062 4.406
Tc Cl
3 1
Cartesian
0.677 -2.441 0.405 Tc
-1.542 -1.507 2.000 Tc
-0.854 -3.896 2.294 Tc
-0.038 -0.184 0.394 Cl
```

The following is a GGA-PBE calculation of a relaxed structure of Tc2Cl, from Alexandria via LeMat-Bulk.

ΔE_f (raw) = 1.419 eV per atom
Space-group type = P4/mmm

```
Tc2Cl
1.0
-1.579 1.205 3.464
-3.274 -2.164 -0.739
1.204 -2.280 1.342
Cl Tc
1 2
Cartesian
0.000 0.000 0.000 Cl
-1.035 -2.222 0.301 Tc
-0.188 -0.537 2.403 Tc
```

The following is a GGA-PBE calculation of a relaxed structure of TcTe2Cl, from Alexandria via LeMat-Bulk.

ΔE_f (raw) = 0.139 eV per atom
Space-group type = I-42d

```
TcTe2Cl
1.0
6.920 0.000 0.000
0.000 6.920 0.000
3.460 3.460 5.512
Cl Te Tc
2 4 2
Cartesian
3.460 3.460 0.000 Cl
3.460 6.920 2.756 Cl
8.651 9.174 4.134 Te
5.190 4.667 4.134 Te
5.713 1.730 1.378 Te
1.207 5.190 1.378 Te
0.000 0.000 0.000 Tc
6.920 3.460 2.756 Tc
```

The following is a GGA-PBE calculation of a relaxed structure of TcTe2Cl, from Alexandria via LeMat-Bulk.

ΔE_f (raw) = 0.356 eV per atom
Space-group type = P4mm

```
TcTe2Cl
1.0
-1.274 -3.091 -1.309
2.784 -0.191 -2.259
3.970 -3.844 5.215
Te Cl Tc
2 1 1
Cartesian
3.745 -3.626 4.919 Te
1.501 -2.363 -0.804 Te
2.201 -2.131 2.891 Cl
3.987 -4.771 2.463 Tc
```

The following is a GGA-PBE calculation of a relaxed structure of TcTeCl, from Alexandria via LeMat-Bulk.

ΔE_f (raw) = 0.210 eV per atom
Space-group type = Fmm2

```
TcTeCl
1.0
-1.592 -7.630 1.283
0.867 -7.497 -0.952
0.999 -0.711 3.091
Cl Te Tc
1 1 1
Cartesian
-0.650 -14.497 0.452 Cl
-0.218 -10.884 1.143 Te
0.416 -5.584 2.158 Tc
```

The following is a GGA-PBE calculation of a relaxed structure of TcTe2Cl, from Alexandria via LeMat-Bulk.

ΔE_f (raw) = 0.036 eV per atom
Space-group type = R3m

```
TcTe2Cl
1.0
11.045 0.024 0.014
10.538 3.309 0.014
10.538 1.627 2.881
Te Tc Cl
2 1 1
Cartesian
0.854 0.132 0.077 Te
8.193 1.265 0.742 Te
24.069 3.716 2.180 Tc
15.065 2.326 1.364 Cl
```

The following is a GGA-PBE calculation of a relaxed structure of TcTe2Cl, from Alexandria via LeMat-Bulk.

ΔE_f (raw) = 0.273 eV per atom
Space-group type = Cmm2

```
TcTe2Cl
1.0
-0.615 2.452 1.970
-2.257 -1.045 -2.022
-3.799 -7.454 8.090
Te Tc Cl
2 1 1
Cartesian
-3.535 -6.937 7.528 Te
-2.360 -1.109 1.942 Te
-4.253 -4.824 5.973 Tc
-2.221 -4.358 4.730 Cl
```

The following is a GGA-PBE calculation of a relaxed structure of TcTe2Cl, from Alexandria via LeMat-Bulk.

ΔE_f (raw) = 0.726 eV per atom
Space-group type = P4/mmm

```
TcTe2Cl
1.0
-0.301 -5.804 1.308
0.560 -0.952 -4.094
4.198 -0.084 0.593
Tc Cl Te
1 1 2
Cartesian
1.948 -2.944 0.951 Tc
0.129 -3.378 -1.393 Cl
0.000 0.000 0.000 Te
2.379 -0.518 -1.750 Te
```

The following is a GGA-PBE calculation of a relaxed structure of TcTe2Cl, from Alexandria via LeMat-Bulk.

ΔE_f (raw) = 0.690 eV per atom
Space-group type = I-4m2

```
TcTe2Cl
1.0
-4.386 1.611 -1.905
1.593 -1.125 -4.653
0.047 -3.524 3.610
Te Cl Tc
2 1 1
Cartesian
0.000 0.000 0.000 Te
0.122 -2.203 -2.161 Te
-1.396 0.243 -3.279 Cl
-2.867 -0.835 -0.787 Tc
```

The following is a GGA-PBE calculation of a relaxed structure of TcTe2Cl, from Alexandria via LeMat-Bulk.

ΔE_f (raw) = -0.037 eV per atom
Space-group type = Amm2

```
TcTe2Cl
1.0
3.331 0.000 0.000
0.000 6.909 0.449
0.000 4.545 5.222
Tc Te Cl
1 2 1
Cartesian
1.665 8.734 4.325 Tc
0.000 10.460 5.179 Te
1.665 2.478 1.227 Te
0.000 6.963 3.448 Cl
```

The following is a GGA-PBE calculation of a relaxed structure of TcTe2Cl, from Alexandria via LeMat-Bulk.

ΔE_f (raw) = 0.671 eV per atom
Space-group type = Cmmm

```
TcTe2Cl
1.0
5.306 0.023 0.000
-2.171 4.842 0.000
0.000 0.000 3.418
Te Tc Cl
2 1 1
Cartesian
1.568 2.432 0.000 Te
0.000 0.000 0.000 Te
-1.085 2.421 1.709 Tc
2.653 0.011 1.709 Cl
```

The following is a GGA-PBE calculation of a relaxed structure of TcTe2Cl, from Alexandria via LeMat-Bulk.

ΔE_f (raw) = 0.079 eV per atom
Space-group type = P4mm

```
TcTe2Cl
1.0
-0.689 -0.360 3.031
3.000 -0.656 0.604
1.969 10.574 1.702
Te Cl Tc
2 1 1
Cartesian
1.777 9.541 1.536 Te
1.626 2.017 2.224 Te
1.191 6.397 1.030 Cl
2.640 7.465 3.101 Tc
```

The following is a GGA-PBE calculation of a relaxed structure of TcTe2Cl, from Alexandria via LeMat-Bulk.

ΔE_f (raw) = -0.053 eV per atom
Space-group type = Cm

```
TcTe2Cl
1.0
6.705 0.004 0.074
5.916 3.156 0.074
2.892 0.724 5.621
Te Cl Tc
2 1 1
Cartesian
11.867 2.972 4.644 Te
11.772 2.948 0.727 Te
8.787 2.201 2.591 Cl
3.465 0.868 0.842 Tc
```

The following is a GGA-PBE calculation of a relaxed structure of TcTeCl3, from Alexandria via LeMat-Bulk.

ΔE_f (raw) = 0.218 eV per atom
Space-group type = Pm-3m

```
TcTeCl3
1.0
4.815 0.000 0.000
0.000 4.815 0.000
0.000 0.000 4.815
Te Cl Tc
1 3 1
Cartesian
2.408 2.408 2.408 Te
2.408 0.000 0.000 Cl
0.000 2.408 0.000 Cl
0.000 0.000 2.408 Cl
0.000 0.000 0.000 Tc
```

The following is a GGA-PBE calculation of a relaxed structure of TcTe2Cl, from Alexandria via LeMat-Bulk.

ΔE_f (raw) = -0.105 eV per atom
Space-group type = C2/m

```
TcTe2Cl
1.0
3.628 -0.081 0.101
1.885 3.101 0.101
1.619 0.887 8.292
Cl Te Tc
1 2 1
Cartesian
5.348 2.930 6.370 Cl
3.571 1.956 3.925 Te
5.507 3.017 0.522 Te
1.783 0.977 2.123 Tc
```

The following is a GGA-PBE calculation of a relaxed structure of TcTe4Cl, from Alexandria via LeMat-Bulk.

ΔE_f (raw) = 0.776 eV per atom
Space-group type = F-43m

```
TcTe4Cl
1.0
0.000 4.433 4.433
4.433 0.000 4.433
4.433 4.433 0.000
Tc Te Cl
1 4 1
Cartesian
0.000 0.000 0.000 Tc
3.323 3.323 3.323 Te
5.542 3.323 5.542 Te
5.542 5.542 3.323 Te
3.323 5.542 5.542 Te
6.649 6.649 6.649 Cl
```

The following is a GGA-PBE calculation of a relaxed structure of TcTeCl, from Alexandria via LeMat-Bulk.

ΔE_f (raw) = 0.116 eV per atom
Space-group type = F-43m

```
TcTeCl
1.0
4.466 0.000 0.000
2.233 3.867 0.000
2.233 1.289 3.646
Cl Tc Te
1 1 1
Cartesian
4.466 2.578 1.823 Cl
6.699 3.867 2.735 Tc
0.000 0.000 0.000 Te
```

The following is a GGA-PBE calculation of a relaxed structure of TcTe2Cl, from Alexandria via LeMat-Bulk.

ΔE_f (raw) = 0.628 eV per atom
Space-group type = R-3m

```
TcTe2Cl
1.0
1.788 0.000 11.683
-0.894 1.549 11.683
-0.894 -1.549 11.683
Te Cl Tc
2 1 1
Cartesian
0.000 0.000 32.392 Te
0.000 0.000 2.657 Te
0.000 0.000 17.524 Cl
0.000 0.000 0.000 Tc
```

The following is a GGA-PBE calculation of a relaxed structure of TcTe2Cl, from Alexandria via LeMat-Bulk.

ΔE_f (raw) = 0.086 eV per atom
Space-group type = Imm2

```
TcTe2Cl
1.0
-3.380 4.998 3.728
-2.133 0.014 6.763
4.952 -0.494 -5.053
Tc Te Cl
1 2 1
Cartesian
-0.016 1.055 3.567 Tc
-0.540 0.491 1.028 Te
-0.492 3.414 1.770 Te
-2.269 2.063 4.318 Cl
```

The following is a GGA-PBE calculation of a relaxed structure of TcTe2Cl, from Alexandria via LeMat-Bulk.

ΔE_f (raw) = 0.245 eV per atom
Space-group type = Immm

```
TcTe2Cl
1.0
7.003 0.262 -0.066
4.447 5.416 0.066
-5.196 -3.905 2.620
Cl Te Tc
1 2 1
Cartesian
3.766 -0.402 1.277 Cl
0.894 0.443 0.000 Te
4.831 2.396 0.000 Te
2.488 2.175 1.343 Tc
```

The following is a GGA-PBE calculation of a relaxed structure of TcTeCl3, from Alexandria via LeMat-Bulk.

ΔE_f (raw) = 0.737 eV per atom
Space-group type = Pm-3m

```
TcTeCl3
1.0
-3.796 0.869 3.852
-1.384 -5.297 -0.168
3.698 -1.089 3.891
Cl Tc Te
3 1 1
Cartesian
1.849 -0.545 1.945 Cl
-0.692 -2.649 -0.084 Cl
-1.898 0.435 1.926 Cl
-0.741 -2.759 3.787 Tc
0.000 0.000 0.000 Te
```

The following is a GGA-PBE calculation of a relaxed structure of TcTe2Cl, from Alexandria via LeMat-Bulk.

ΔE_f (raw) = 0.629 eV per atom
Space-group type = P4/mmm

```
TcTe2Cl
1.0
5.113 0.000 0.000
0.000 5.113 0.000
0.000 0.000 3.179
Te Tc Cl
2 1 1
Cartesian
2.557 2.557 0.000 Te
0.000 0.000 0.000 Te
0.000 2.557 1.590 Tc
2.557 0.000 1.590 Cl
```

The following is a GGA-PBE calculation of a relaxed structure of TcTeCl, from Alexandria via LeMat-Bulk.

ΔE_f (raw) = -0.141 eV per atom
Space-group type = P3m1

```
TcTeCl
1.0
-1.582 -1.775 2.734
3.571 0.611 0.061
-1.106 6.134 3.343
Te Tc Cl
1 1 1
Cartesian
-0.485 2.466 3.721 Te
1.492 1.821 2.045 Tc
-0.123 0.682 0.372 Cl
```

The following is a GGA-PBE calculation of a relaxed structure of TcTe2Cl, from Alexandria via LeMat-Bulk.

ΔE_f (raw) = 0.404 eV per atom
Space-group type = Fm-3m

```
TcTe2Cl
1.0
-3.557 -0.995 3.238
-3.952 2.904 0.277
-4.361 -1.631 -1.566
Te Cl Tc
2 1 1
Cartesian
-8.903 0.209 1.462 Te
-2.968 0.070 0.487 Te
0.000 0.000 0.000 Cl
-5.935 0.139 0.975 Tc
```

The following is a GGA-PBE calculation of a relaxed structure of TcTeCl, from Alexandria via LeMat-Bulk.

ΔE_f (raw) = 0.037 eV per atom
Space-group type = I4mm

```
TcTeCl
1.0
-6.470 -1.137 -2.953
-4.256 -5.055 -2.864
4.510 2.660 4.945
Tc Cl Te
1 1 1
Cartesian
-3.555 -2.052 -1.928 Tc
-10.212 -5.895 -5.538 Cl
-7.686 -4.437 -4.168 Te
```

The following is a GGA-PBE calculation of a relaxed structure of TcTe2Cl, from Alexandria via LeMat-Bulk.

ΔE_f (raw) = -0.232 eV per atom
Space-group type = P-1

```
TcTe2Cl
1.0
-0.700 1.758 -2.855
3.081 -4.548 -3.559
-7.602 -4.142 1.349
Tc Te Cl
2 4 2
Cartesian
-0.001 -4.313 -4.126 Tc
-1.531 -2.305 -0.459 Tc
-0.522 0.066 -1.300 Te
0.077 -1.592 -4.524 Te
-2.310 -3.269 -2.916 Te
-4.093 -2.136 0.275 Te
-5.386 -3.228 -2.133 Cl
-4.450 -5.774 -3.956 Cl
```

The following is a GGA-PBE calculation of a relaxed structure of TcTe2Cl, from Alexandria via LeMat-Bulk.

ΔE_f (raw) = 0.705 eV per atom
Space-group type = Pmmm

```
TcTe2Cl
1.0
-2.252 2.117 -0.746
-2.272 0.103 7.147
2.869 3.356 0.863
Tc Cl Te
1 1 2
Cartesian
0.299 1.730 4.005 Tc
0.309 2.736 0.059 Cl
0.000 0.000 0.000 Te
-2.262 1.110 3.200 Te
```